[1]
The following is a DFT calculation (PBE) of a geometry-optimized HgAuSe2 structure.

It has space group Pm (No. 6), with a = 2.9288 Å, b = 3.9793 Å, c = 7.9365 Å, α = 90.00°, β = 92.68° and γ = 90.00°. The asymmetric unit holds Hg at (0.0000, 0.0000, 0.0000), Au at (0.9753, 0.5000, 0.2534), Se at (0.9848, 0.0000, 0.4694) and Se at (0.9987, 0.5000, 0.7510).

Its theoretical density is 9.98 g/cm³. The density of states at the Fermi level is 2.070 states/eV/cell. The calculation puts the total magnetic moment at 0.00 μB/atom. Its formation energy without anion corrections is 130 meV/atom.

[2]
The following is a DFT calculation (PBE) of a geometry-optimized PmAs4Rh6 structure.

It has space group P-6m2 (No. 187), with a = 7.2479 Å, b = 7.2479 Å, c = 3.8889 Å, α = 90.00°, β = 90.00° and γ = 120.00°. The asymmetric unit holds Pm at (0.0000, 0.0000, 0.0000), As at (0.3333, 0.6667, 0.0000), As at (0.3816, 0.1908, 0.5000), Rh at (0.1985, 0.3971, 0.5000) and Rh at (0.5336, 0.0671, 0.0000).

As for the formation energy from the elements: -0.7020 eV per atom. Its theoretical density is 9.97 g/cm³. The density of states at the Fermi level is 6.645 states/eV/cell. The calculation puts the total magnetic moment at 0.00 μB/atom.

[3]
The following is a DFT calculation (PBE) of a geometry-optimized K2TeAs structure.

It has space group F-43m (No. 216), with a = 8.0106 Å, b = 8.0106 Å, c = 8.0106 Å, α = 90.00°, β = 90.00° and γ = 90.00°. The asymmetric unit holds K at (0.0000, 0.0000, 0.0000), K at (0.2500, 0.2500, 0.2500), Te at (0.2500, 0.2500, 0.7500) and As at (0.0000, 0.0000, 0.5000).

Its theoretical density is 3.63 g/cm³. The density of states at the Fermi level is 11.180 states/eV/cell. The calculation puts the total magnetic moment at 0.00 μB/atom. Its formation energy without anion corrections is -185 meV/atom.